The following is a DFT calculation (PBE) of a geometry-optimized LiPm5Tl8 structure.

Its formation energy is -0.2690 eV per atom. The calculation puts the density of states at the Fermi level at 0.720 states/eV/atom. Its magnetic moment is 0.00 μB per cell.

The space group is I-4 (No. 82) and the conventional cell measures 9.3981, 9.3981 and 9.1907 Å, with angles of 90.00, 90.00 and 90.00 degrees. Symmetry generates all atoms from Li at (0.0000, 0.0000, 0.0000), Pm at (0.0000, 0.5000, 0.7500), Pm at (0.1140, 0.2478, 0.3914), Tl at (0.0753, 0.1626, 0.7365) and Tl at (0.0781, 0.3113, 0.0493).

=====

The following is a DFT calculation (PBE) of a geometry-optimized Li2PmTl structure.

Its formation energy is -0.2512 eV per atom. The calculation puts the density of states at the Fermi level at 0.068 states/eV/atom. Its magnetic moment is 0.00 μB per cell.

The space group is Fm-3m (No. 225) and the conventional cell measures 6.9694, 6.9694 and 6.9694 Å, with angles of 90.00, 90.00 and 90.00 degrees. Symmetry generates all atoms from Li at (0.2500, 0.2500, 0.2500), Pm at (0.0000, 0.0000, 0.0000) and Tl at (0.0000, 0.0000, 0.5000).